This record from the Alexandria database describes BaYScSi2 after structural relaxation. The functional is PBE-GGA.

## Properties
SG: P4/mmm (123)

The structure in extended XYZ format:
```
5
Lattice="-4.806 -1.155 -2.342 0.367 -5.155 1.791 -2.491 1.365 4.440" Properties=species:S:1:pos:R:3 pbc="T T T"
Y 0.000 0.000 0.000
Sc -1.246 0.683 2.220
Si 0.183 -2.577 0.895
Si -2.403 -0.578 -1.171
Ba -3.465 -2.472 1.945
```

---

This record from the Alexandria database describes Ba3Sm3ScTe8 after structural relaxation. The functional is PBE-GGA.

## Properties
SG: R-3m (166)

The structure in extended XYZ format:
```
15
Lattice="-3.949 8.035 -1.357 -0.644 -6.481 -6.289 -4.973 -1.072 8.130" Properties=species:S:1:pos:R:3 pbc="T T T"
Ba 0.000 0.000 0.000
Ba -0.322 -3.241 -3.144
Ba -2.297 0.777 -3.823
Sm -4.461 3.482 3.387
Sm -4.784 0.241 0.242
Sm -2.809 -3.777 0.921
Sc -2.487 -0.536 4.065
Te -2.741 -1.576 -1.353
Te -6.827 2.058 1.838
Te -4.819 2.383 -2.079
Te -4.748 -1.901 2.564
Te -4.485 5.741 1.179
Te -5.083 -5.258 -0.694
Te -2.439 1.579 1.882
Te -7.128 -1.096 -1.397
```

---

Number 1: E_form (uncorrected) 201.0 kJ/mol of formula units. Number 2: E_form (uncorrected) -2192.4 kJ/mol of formula units.